1.
TiHgSe2 | GGA-PBE | optimized geometry

abc: 10.255 10.255 10.255
angles: 19.82 19.82 19.82
Fractional positions:
Hg 0.000 0.000 0.000
Se 0.885 0.885 0.885
Se 0.115 0.115 0.115
Ti 0.500 0.500 0.500

Values from the calculation:
**Uncorrected formation energy**: -827 meV/atom
**Space group**: No. 166

=====

2.
Li2TaRu | GGA-PBE | optimized geometry

abc: 4.352 4.352 4.352
angles: 120.14 120.14 89.75
Fractional positions:
Li 0.000 0.000 0.000
Li 0.250 0.750 0.500
Ru 0.500 0.500 0.000
Ta 0.750 0.250 0.500

Values from the calculation:
**Energy above the most stable polymorph in this dataset**: 43 meV per atom
**Calculated formation energy**: 0.131 eV per atom
**Space group**: No. 119

=====

3.
NiSe2Br | GGA-PBE | optimized geometry

abc: 8.950 3.523 13.820
angles: 90.00 90.00 90.00
Fractional positions:
Ni 0.536 0.250 0.412
Ni 0.964 0.750 0.912
Ni 0.464 0.750 0.588
Ni 0.036 0.250 0.088
Se 0.637 0.250 0.573
Se 0.863 0.750 0.073
Se 0.363 0.750 0.427
Se 0.137 0.250 0.927
Se 0.342 0.250 0.666
Se 0.158 0.750 0.166
Se 0.658 0.750 0.334
Se 0.842 0.250 0.834
Br 0.084 0.250 0.617
Br 0.416 0.750 0.117
Br 0.916 0.750 0.383
Br 0.584 0.250 0.883

Values from the calculation:
**Energy above the most stable polymorph in this dataset**: 63 meV per atom
**Uncorrected formation energy**: -175 meV/atom
**Space group**: No. 62

=====

4.
NdPaTc2 | GGA-PBE | optimized geometry

abc: 3.424 3.424 8.821
angles: 78.81 78.81 60.00
Fractional positions:
Pa 0.000 0.000 0.000
Nd 0.500 0.500 0.500
Tc 0.262 0.262 0.213
Tc 0.738 0.738 0.787

Values from the calculation:
**Energy above the most stable polymorph in this dataset**: 224 meV per atom
**Calculated formation energy**: 0.138 eV per atom
**Space group**: No. 166

=====

5.
BeOs | GGA-PBE | optimized geometry

abc: 2.773 7.318 4.584
angles: 90.00 90.00 90.00
Fractional positions:
Be 0.500 0.000 0.257
Be 0.500 0.000 0.743
Be 0.000 0.500 0.757
Be 0.000 0.500 0.243
Os 0.000 0.214 0.000
Os 0.000 0.786 0.000
Os 0.500 0.714 0.500
Os 0.500 0.286 0.500

Values from the calculation:
**Calculated formation energy**: -0.017 eV per atom
**Space group**: No. 71

=====

6.
ScPaInHg | GGA-PBE | optimized geometry

abc: 5.188 5.188 5.188
angles: 60.00 60.00 60.00
Each line ends with the local moment (μB).
Fractional positions:
Sc 0.250 0.250 0.250  0.28
Pa 0.750 0.750 0.750  0.94
Hg 0.500 0.500 0.500  0.02
In 0.000 0.000 0.000  0.00

Values from the calculation:
**Calculated formation energy**: -0.045 eV per atom
**Space group**: No. 216

=====

7.
TlTcBi2O6 | GGA-PBE | optimized geometry

abc: 6.813 8.681 8.681
angles: 110.43 76.93 76.93
Fractional positions:
Tl 0.250 0.911 0.089
Tl 0.750 0.089 0.911
Tc 0.250 0.174 0.826
Tc 0.750 0.826 0.174
Bi 0.343 0.728 0.558
Bi 0.157 0.442 0.272
Bi 0.657 0.272 0.442
Bi 0.843 0.558 0.728
O 0.205 0.958 0.817
O 0.295 0.183 0.042
O 0.795 0.042 0.183
O 0.705 0.817 0.958
O 0.509 0.824 0.296
O 0.991 0.704 0.176
O 0.491 0.176 0.704
O 0.009 0.296 0.824
O 0.047 0.659 0.587
O 0.453 0.413 0.341
O 0.953 0.341 0.413
O 0.547 0.587 0.659

Values from the calculation:
**Uncorrected formation energy**: -1074 meV/atom
**Space group**: No. 15

=====

8.
TaCr2Co | GGA-PBE | optimized geometry

abc: 4.740 4.740 4.346
angles: 75.25 75.25 34.18
Each line ends with the local moment (μB).
Fractional positions:
Co 0.250 0.250 0.250  0.26
Cr 0.984 0.984 0.047  0.02
Cr 0.516 0.516 0.453  0.02
Ta 0.750 0.750 0.750  0.00

Values from the calculation:
**Energy above the most stable polymorph in this dataset**: 166 meV per atom
**Calculated formation energy**: 0.175 eV per atom
**Space group**: No. 12

=====

9.
SmHoEr2 | GGA-PBE | optimized geometry

abc: 3.543 3.543 11.700
angles: 81.25 81.25 59.99
Fractional positions:
Sm 0.892 0.671 0.695
Ho 0.392 0.171 0.195
Er 0.643 0.422 0.442
Er 0.141 0.919 0.948

Values from the calculation:
**Energy above the most stable polymorph in this dataset**: 10 meV per atom
**Calculated formation energy**: 0.021 eV per atom
**Space group**: No. 166

=====

10.
Zr2CdSb | GGA-PBE | optimized geometry

abc: 3.272 3.272 8.340
angles: 90.00 90.00 90.00
Fractional positions:
Cd 0.500 0.500 0.250
Sb 0.500 0.500 0.750
Zr 0.000 0.000 0.994
Zr 0.000 0.000 0.506

Values from the calculation:
**Energy above the most stable polymorph in this dataset**: 121 meV per atom
**Uncorrected formation energy**: -210 meV/atom
**Space group**: No. 123

=====

11.
DyZn2Cd9 | GGA-PBE | optimized geometry

abc: 7.467 9.130 9.130
angles: 80.37 65.86 65.86
Fractional positions:
Dy 0.500 0.000 0.000
Dy 0.250 0.500 0.500
Zn 0.875 0.250 0.750
Zn 0.875 0.750 0.250
Zn 0.875 0.250 0.250
Zn 0.375 0.750 0.750
Cd 0.750 0.500 0.500
Cd 0.000 0.000 0.000
Cd 0.990 0.928 0.685
Cd 0.603 0.072 0.315
Cd 0.667 0.185 0.572
Cd 0.425 0.815 0.428
Cd 0.760 0.815 0.572
Cd 0.147 0.185 0.428
Cd 0.083 0.928 0.315
Cd 0.325 0.072 0.685
Cd 0.760 0.572 0.815
Cd 0.147 0.428 0.185
Cd 0.083 0.315 0.928
Cd 0.325 0.685 0.072
Cd 0.990 0.685 0.928
Cd 0.603 0.315 0.072
Cd 0.667 0.572 0.185
Cd 0.425 0.428 0.815

Values from the calculation:
**Calculated formation energy**: -0.050 eV per atom
**Space group**: No. 141

=====

12.
CeSmOsBr | GGA-PBE | optimized geometry

abc: 4.048 4.048 8.157
angles: 90.01 104.36 120.00
Each line ends with the local moment (μB).
Fractional positions:
Ce 0.095 0.945 0.055  0.25
Sm 0.504 0.150 0.669  0.00
Os 0.313 0.554 0.882  -0.04
Br 0.967 0.382 0.363  0.00

Values from the calculation:
**Uncorrected formation energy**: -724 meV/atom
**Space group**: No. 160